YCuAg4 (GGA-PBE, relaxed); space group = F-43m (216); energy relative to the elements = -0.12 eV per formula unit
1.0
-4.7530 -2.7425 -0.4608
-4.1253 1.0331 3.4984
-4.5206 2.6025 -1.7652
Ag Y Cu
4 1 1
direct
0.3755 0.3755 0.3755
0.3755 0.3755 0.8735
0.8735 0.3755 0.3755
0.3755 0.8735 0.3755
0.0000 0.0000 0.0000
0.7500 0.7500 0.7500